# 1
Material: Na2Cd4Au3
Method: DFT, PBE-GGA
State: optimized geometry

Lattice parameters (Å, degrees): 5.7803 8.9452 8.4767 90.00 109.93 90.00
Closest atoms and distances in Å follow each position.
Fractional coordinates of all 18 atoms:
Au: 0.9986 0.2500 0.4971  5 Cd 2.84-2.91, 2 Au 2.89, 2 Na 3.10
Au: 0.0000 0.0000 0.0000  6 Cd 2.86-2.92
Au: 0.4986 0.2500 0.4971  5 Cd 2.84-2.91, 2 Au 2.89, 2 Na 3.10
Au: 0.0014 0.7500 0.5029  5 Cd 2.84-2.91, 2 Au 2.89, 2 Na 3.10
Au: 0.5000 0.5000 0.0000  6 Cd 2.86-2.92
Au: 0.5014 0.7500 0.5029  5 Cd 2.84-2.91, 2 Au 2.89, 2 Na 3.10
Cd: 0.8163 0.2500 0.1325  3 Au 2.86-2.91, 2 Cd 2.89
Cd: 0.1834 0.9950 0.3669  5 Au 2.84-2.92
Cd: 0.6837 0.7500 0.8675  3 Au 2.86-2.91, 2 Cd 2.89
Cd: 0.1837 0.7500 0.8675  3 Au 2.86-2.91, 2 Cd 2.89
Cd: 0.3166 0.4950 0.6331  5 Au 2.84-2.92
Cd: 0.6834 0.5050 0.3669  5 Au 2.84-2.92
Cd: 0.3163 0.2500 0.1325  3 Au 2.86-2.91, 2 Cd 2.89
Cd: 0.8166 0.0050 0.6331  5 Au 2.84-2.92
Na: 0.5998 0.8957 0.1995  4 Au 3.10-3.43, 4 Cd 3.28-3.30
Na: 0.9002 0.3957 0.8005  4 Au 3.10-3.43, 4 Cd 3.28-3.30
Na: 0.4002 0.1043 0.8005  4 Au 3.10-3.43, 4 Cd 3.28-3.30
Na: 0.0998 0.6043 0.1995  4 Au 3.10-3.43, 4 Cd 3.28-3.30

# 2
Material: Na3Cd7Au
Method: DFT, PBE-GGA
State: optimized geometry

Lattice parameters (Å, degrees): 3.1788 11.6123 15.2648 90.00 90.00 97.87
Closest atoms and distances in Å follow each position.
Fractional coordinates of all 22 atoms:
Cd: 0.2661 0.5322 0.4237  3 Cd 2.80-2.92
Cd: 0.5011 0.0022 0.4071  3 Cd 2.84-3.08, 2 Au 2.99
Cd: 0.4989 0.9978 0.5929  3 Cd 2.84-3.08, 2 Au 2.99
Cd: 0.3770 0.7540 0.3484  3 Cd 2.80-3.00, 2 Au 2.99
Cd: 0.5851 0.1702 0.2500  4 Cd 3.08-3.18, 2 Au 3.17, 1 Na 3.32
Cd: 0.7339 0.4678 0.5763  3 Cd 2.80-2.92
Cd: 0.4989 0.9978 0.9071  3 Cd 2.84-3.08, 2 Au 2.99
Cd: 0.7339 0.4678 0.9237  3 Cd 2.80-2.92
Cd: 0.2661 0.5322 0.0763  3 Cd 2.80-2.92
Cd: 0.6230 0.2460 0.8484  3 Cd 2.80-3.00, 2 Au 2.99
Cd: 0.3770 0.7540 0.1516  3 Cd 2.80-3.00, 2 Au 2.99
Cd: 0.6230 0.2460 0.6516  3 Cd 2.80-3.00, 2 Au 2.99
Cd: 0.4149 0.8298 0.7500  4 Cd 3.08-3.18, 2 Au 3.17, 1 Na 3.32
Cd: 0.5011 0.0022 0.0929  3 Cd 2.84-3.08, 2 Au 2.99
Au: 0.9659 0.9318 0.2500  10 Cd 2.99-3.17, 2 Au 3.18
Au: 0.0341 0.0682 0.7500  10 Cd 2.99-3.17, 2 Au 3.18
Na: 0.8759 0.7518 0.9503  2 Na 3.18, 7 Cd 3.29-3.55
Na: 0.1241 0.2482 0.0497  2 Na 3.18, 7 Cd 3.29-3.55
Na: 0.8759 0.7518 0.5497  2 Na 3.18, 7 Cd 3.29-3.55
Na: 0.2706 0.5412 0.7500  2 Na 3.18, 5 Cd 3.20-3.32
Na: 0.1241 0.2482 0.4503  2 Na 3.18, 7 Cd 3.29-3.55
Na: 0.7294 0.4588 0.2500  2 Na 3.18, 5 Cd 3.20-3.32

# 3
Material: NaCd2Au2
Method: DFT, PBE-GGA
State: optimized geometry

Lattice parameters (Å, degrees): 4.1443 4.1443 7.3486 73.62 73.62 90.00
Closest atoms and distances in Å follow each position.
Fractional coordinates of all 5 atoms:
Au: 0.7500 0.2500 0.5000  4 Cd 2.85, 4 Au 2.93
Au: 0.2500 0.7500 0.5000  4 Cd 2.85, 4 Au 2.93
Cd: 0.3957 0.3957 0.2087  1 Cd 2.81, 4 Au 2.85
Cd: 0.6043 0.6043 0.7913  1 Cd 2.81, 4 Au 2.85
Na: 0.0000 0.0000 0.0000  8 Cd 3.25

Computed properties:
ΔE to the lowest computed polymorph = 124.5 meV/atom

# 4
Material: Na2Cd3Au
Method: DFT, PBE-GGA
State: optimized geometry

Lattice parameters (Å, degrees): 3.2430 4.9997 8.7108 90.00 90.00 90.00
Closest atoms and distances in Å follow each position.
Fractional coordinates of all 6 atoms:
Cd: 0.5000 0.5000 0.6585  1 Au 2.84, 2 Cd 2.93
Cd: 0.5000 0.0000 0.1717  2 Au 2.86, 1 Cd 2.94, 2 Na 3.18
Cd: 0.5000 0.0000 0.8337  5 Cd 2.93-3.24
Au: 0.5000 0.5000 0.3323  3 Cd 2.84-2.86, 2 Na 3.18
Na: 0.0000 0.5000 0.0180  2 Au 3.18, 2 Na 3.24, 10 Cd 3.27-3.53
Na: 0.0000 0.0000 0.4858  8 Cd 3.18-3.44, 2 Na 3.24, 4 Au 3.27

Computed properties:
ΔE to the lowest computed polymorph = 62.4 meV/atom

Number 1: DOS(E_F) 5.223 states/eV/cell, total magnetic moment 0.000 μB per atom, ΔH_f (0 K) -0.237 eV/atom. Number 2: DOS(E_F) 10.820 states/eV/cell, total magnetic moment 0.000 μB per atom, ΔH_f (0 K) -0.053 eV/atom. Number 3: DOS(E_F) 1.715 states/eV/cell, total magnetic moment 0.000 μB per atom, ΔH_f (0 K) -0.123 eV/atom. Number 4: DOS(E_F) 2.496 states/eV/cell, total magnetic moment 0.000 μB per atom, ΔH_f (0 K) -0.166 eV/atom.